{"formula": "TlSiIr2", "functional": "GGA-PBE", "state": "relaxed", "cell": [[-2.8987, -0.5115, 8.2375], [-0.6869, -2.5099, 8.3515], [-0.0993, 0.3890, 8.7383]], "species": ["Tl", "Si", "Ir", "Ir"], "fractional_positions": [[0.7500, 0.7500, 0.7500], [0.2500, 0.2500, 0.2500], [0.9843, 0.9843, 0.9843], [0.5157, 0.5157, 0.5157]], "polymorph_energy_mev_per_atom": 120, "raw_formation_energy_mev_per_atom": -28}

***

{"formula": "LaVMo2", "functional": "GGA-PBE", "state": "relaxed", "cell": [[-1.8658, -2.8204, 3.2022], [-4.6160, -0.5933, 0.1746], [-1.8757, -4.0643, -1.2858]], "species": ["Mo", "Mo", "La", "V"], "fractional_positions": [[0.2500, 0.2500, 0.2500], [0.7500, 0.7500, 0.7500], [0.5000, 0.5000, 0.5000], [0.0000, 0.0000, 0.0000]], "polymorph_energy_mev_per_atom": 174}

***

{"formula": "ZrAs2SeBr", "functional": "GGA-PBE", "state": "relaxed", "cell": [[5.0699, 0.0000, 0.0000], [0.0000, 5.0699, 0.0000], [0.0000, 0.0000, 4.8667]], "species": ["Br", "As", "As", "Se", "Zr"], "fractional_positions": [[0.0000, 0.0000, 0.5000], [0.0000, 0.5000, 0.0000], [0.5000, 0.0000, 0.0000], [0.0000, 0.0000, 0.0000], [0.5000, 0.5000, 0.5000]], "polymorph_energy_mev_per_atom": 603, "raw_formation_energy_mev_per_atom": 649}

***

{"formula": "TbPr3H8", "functional": "GGA-PBE", "state": "relaxed", "cell": [[5.4552, 0.0000, 0.0000], [0.0000, 5.4552, 0.0000], [0.0000, 0.0000, 5.4552]], "species": ["Pr", "Pr", "Pr", "H", "H", "H", "H", "H", "H", "H", "H", "Tb"], "fractional_positions": [[0.5000, 0.5000, 0.0000], [0.0000, 0.5000, 0.5000], [0.5000, 0.0000, 0.5000], [0.2417, 0.2417, 0.7583], [0.2417, 0.2417, 0.2417], [0.2417, 0.7583, 0.7583], [0.7583, 0.2417, 0.2417], [0.7583, 0.7583, 0.7583], [0.7583, 0.7583, 0.2417], [0.7583, 0.2417, 0.7583], [0.2417, 0.7583, 0.2417], [0.0000, 0.0000, 0.0000]], "final_energy_ev_per_atom": -4.470}